# 1
First-principles (PBE) data for MgZnMo after structural relaxation, as listed in the Alexandria database.

The structure in CIF format:
```
data_MgZnMo
_chemical_formula_sum 'Mg4 Zn4 Mo4'
_cell_length_a 6.107
_cell_length_b 6.107
_cell_length_c 6.107
_cell_angle_alpha 90.00
_cell_angle_beta 90.00
_cell_angle_gamma 90.00
_symmetry_space_group_name_H-M 'F -4 3 m'
_symmetry_Int_Tables_number 216
_symmetry_space_group_name_Hall 'F -4 2 3'
loop_
_atom_site_label
_atom_site_fract_x
_atom_site_fract_y
_atom_site_fract_z
Mg1 0.000 0.000 0.000
Zn1 0.250 0.250 0.750
Mo1 0.000 0.000 0.500
```

The value obtained for the distance to the lowest polymorph of the same formula is 620.9 meV/atom.

=====

# 2
First-principles (PBE) data for LiVHg after structural relaxation, as listed in the Alexandria database.

The structure in CIF format:
```
data_LiVHg
_chemical_formula_sum 'Li4 V4 Hg4'
_cell_length_a 3.174
_cell_length_b 14.404
_cell_length_c 4.220
_cell_angle_alpha 90.00
_cell_angle_beta 90.00
_cell_angle_gamma 90.00
_symmetry_space_group_name_H-M 'A m m 2'
_symmetry_Int_Tables_number 38
loop_
_symmetry_equiv_pos_as_xyz
'x,y,z'
'-x,-y,z'
'-x,y,z'
'x,-y,z'
'x,y+1/2,z+1/2'
'-x,-y+1/2,z+1/2'
'-x,y+1/2,z+1/2'
'x,-y+1/2,z+1/2'
loop_
_atom_site_label
_atom_site_fract_x
_atom_site_fract_y
_atom_site_fract_z
Li1 0.000 0.173 0.000
V1 0.000 0.000 0.499
V2 0.500 0.000 0.999
Hg1 0.500 0.162 0.500
```

The value obtained for the distance to the lowest polymorph of the same formula is 38.5 meV/atom.

=====

# 3
First-principles (PBE) data for Ba3Pt after structural relaxation, as listed in the Alexandria database.

The structure in CIF format:
```
data_Ba3Pt
_chemical_formula_sum 'Ba9 Pt3'
_cell_length_a 4.5856
_cell_length_b 4.5856
_cell_length_c 33.9022
_cell_angle_alpha 90.00
_cell_angle_beta 90.00
_cell_angle_gamma 120.00
_symmetry_space_group_name_H-M 'R -3 m'
_symmetry_Int_Tables_number 166
_symmetry_space_group_name_Hall '-R 3 2"'
loop_
_atom_site_label
_atom_site_fract_x
_atom_site_fract_y
_atom_site_fract_z
Ba1 0.0000 0.0000 0.0000
Ba2 0.0000 0.0000 0.2173
Pt1 0.0000 0.0000 0.5000
```

The calculation puts the calculated total energy at -13.6 eV/f.u.

=====

# 4
First-principles (PBE) data for Na3TbTm2O6 after structural relaxation, as listed in the Alexandria database.

The structure in CIF format:
```
data_Na3TbTm2O6
_chemical_formula_sum 'Na6 Tb2 Tm4 O12'
_cell_length_a 5.878
_cell_length_b 10.182
_cell_length_c 5.906
_cell_angle_alpha 90.00
_cell_angle_beta 109.36
_cell_angle_gamma 90.00
_symmetry_space_group_name_H-M 'C 1 2/m 1'
_symmetry_Int_Tables_number 12
loop_
_symmetry_equiv_pos_as_xyz
'x,y,z'
'-x,-y,-z'
'-x,y,-z'
'x,-y,z'
'x+1/2,y+1/2,z'
'-x+1/2,-y+1/2,-z'
'-x+1/2,y+1/2,-z'
'x+1/2,-y+1/2,z'
loop_
_atom_site_label
_atom_site_fract_x
_atom_site_fract_y
_atom_site_fract_z
Na1 0.000 0.000 0.000
Na2 0.000 0.331 0.000
Tb1 0.000 0.500 0.500
Tm1 0.000 0.167 0.500
O1 0.231 0.000 0.710
O2 0.239 0.330 0.709
```

The value obtained for the uncorrected formation energy is -2.84 eV/atom.

=====

# 5
First-principles (PBE) data for U3Ge after structural relaxation, as listed in the Alexandria database.

The structure in CIF format:
```
data_U3Ge
_chemical_formula_sum 'U3 Ge1'
_cell_length_a 4.299
_cell_length_b 4.299
_cell_length_c 4.299
_cell_angle_alpha 90.00
_cell_angle_beta 90.00
_cell_angle_gamma 90.00
_symmetry_space_group_name_H-M 'P m -3 m'
_symmetry_Int_Tables_number 221
_symmetry_space_group_name_Hall '-P 4 2 3'
loop_
_atom_site_label
_atom_site_fract_x
_atom_site_fract_y
_atom_site_fract_z
U1 0.000 0.000 0.500
Ge1 0.500 0.500 0.500
```

The value obtained for the distance to the lowest polymorph of the same formula is 0.0 meV/atom.

=====

# 6
First-principles (PBE) data for LaFeAg2Sb after structural relaxation, as listed in the Alexandria database.

The structure in CIF format:
```
data_LaFeAg2Sb
_chemical_formula_sum 'La1 Fe1 Ag2 Sb1'
_cell_length_a 5.168
_cell_length_b 5.168
_cell_length_c 4.810
_cell_angle_alpha 90.00
_cell_angle_beta 90.00
_cell_angle_gamma 90.00
_symmetry_space_group_name_H-M 'P 4/m m m'
_symmetry_Int_Tables_number 123
_symmetry_space_group_name_Hall '-P 4 2'
loop_
_atom_site_label
_atom_site_fract_x
_atom_site_fract_y
_atom_site_fract_z
La1 0.000 0.000 0.000
Fe1 0.500 0.500 0.000
Ag1 0.000 0.500 0.500
Sb1 0.500 0.500 0.500
```

The value obtained for the uncorrected formation energy is 0.50 eV/atom.